{
  "formula": "Er6Cu2S",
  "functional": "PBE-GGA",
  "state": "relaxed",
  "n_ef_per_ev_atom": 1.006,
  "final_energy_ev_per_cell": -88.89,
  "lattice": [[6.367, 0.000, 0.035], [0.000, 7.101, 0.000], [0.373, 0.000, 9.932]],
  "species": ["Er", "Er", "Er", "Er", "Er", "Er", "Er", "Er", "Er", "Er", "Er", "Er", "Cu", "Cu", "Cu", "Cu", "S", "S"],
  "frac_coords": [[0.153, 0.035, 0.245], [0.169, 0.330, 0.571], [0.162, 0.304, 0.934], [0.338, 0.804, 0.566], [0.331, 0.830, 0.929], [0.347, 0.535, 0.255], [0.847, 0.965, 0.755], [0.831, 0.670, 0.429], [0.838, 0.696, 0.066], [0.662, 0.196, 0.434], [0.669, 0.170, 0.071], [0.653, 0.465, 0.745], [0.065, 0.613, 0.764], [0.435, 0.113, 0.736], [0.565, 0.887, 0.264], [0.935, 0.387, 0.236], [0.500, 0.500, 0.000], [0.000, 0.000, 0.500]]
}